(1)
Compound: CaAl2Pd2
Source: the Alexandria database
Functional: meta-GGA SCAN
Structure: PBEsol geometry

The energy relative to the elements comes out at -0.896 eV/atom. The theoretical density is 5.5 g/cm3. The calculation puts the total energy at -19.039 eV/atom.

Unit cell a=4.0847 b=4.0847 c=6.2741 alpha=109.00 beta=109.00 gamma=90.00
Sites, in units of the cell vectors:
Pd 0.3799 0.3799 0.7599
Pd 0.6201 0.6201 0.2401
Al 0.2500 0.7500 0.5000
Al 0.7500 0.2500 0.5000
Ca 0.0000 0.0000 0.0000

***

(2)
Compound: CaAlPd2S
Source: the Alexandria database
Functional: meta-GGA SCAN
Structure: PBEsol geometry

The value obtained for the formation energy from raw total energies is -0.29 eV/atom. The theoretical density is 5.2 g/cm3. The calculation puts the total energy at -18.805 eV/atom.

Unit cell a=4.5492 b=4.5492 c=4.8164 alpha=90.00 beta=90.00 gamma=90.00
Sites, in units of the cell vectors:
Ca 0.5000 0.5000 0.5000
Pd 0.0000 0.5000 0.0000
Pd 0.5000 0.0000 0.0000
Al 0.0000 0.0000 0.5000
S 0.0000 0.0000 0.0000